# Na2CoF8

Na2CoF8 after structural relaxation (PBE with a Hubbard U, the Alexandria database).

Cell lengths 9.780, 7.233, 4.730 Å; angles 90.00, 115.02, 90.00 degrees
Space group C2/m (No. 12)
Symmetry-distinct sites (fractional):
Na1 0.171 0.000 0.336 [4 per cell]
Co1 0.000 0.500 0.000 [2 per cell]
F1 0.077 0.000 0.719 [4 per cell]
F2 0.113 0.500 0.796 [4 per cell]
F3 0.121 0.327 0.257 [8 per cell]

The value obtained for the total energy is -3.79 eV/atom.